The following is a PBE calculation of a relaxed RbY2Se crystal, from the Alexandria database.

Calculated values
Space-group type: No. 141
V: 403.0 Å³ per cell
E_form (uncorrected): -39 kJ/mol of formula units
E: -0.16339 Ha/atom

a = 6.680 Å, b = 6.680 Å, c = 10.191 Å
α = 70.87°, β = 70.87°, γ = 90.00°
Atoms (fractional coordinates):
Y 0.375 0.125 0.250
Y 0.375 0.625 0.250
Y 0.375 0.625 0.750
Y 0.875 0.625 0.750
Se 0.500 0.500 0.000
Se 0.250 0.750 0.500
Rb 0.000 0.000 0.000
Rb 0.750 0.250 0.500